No. 1
VASP calculation (GGA-PBE) on an optimized crystal structure of SmAlAu.

Cell lengths 4.5743, 22.2651, 7.7968 Å; angles 90.00, 90.00, 90.00 degrees
Space group Imm2 (No. 44)
Symmetry-distinct sites (fractional):
1 Sm 0.0000 0.0000 0.0000 (multiplicity 2)
2 Sm 0.0000 0.1646 0.9119 (multiplicity 4)
3 Sm 0.0000 0.3304 0.0077 (multiplicity 4)
4 Sm 0.0000 0.5000 0.9147 (multiplicity 2)
5 Al 0.0000 0.1042 0.2920 (multiplicity 4)
6 Al 0.0000 0.2728 0.6272 (multiplicity 4)
7 Al 0.0000 0.4376 0.2934 (multiplicity 4)
8 Au 0.0000 0.0736 0.6199 (multiplicity 4)
9 Au 0.0000 0.2349 0.2987 (multiplicity 4)
10 Au 0.0000 0.3995 0.6230 (multiplicity 4)

## Properties
Calculated density   9.39 g/cm3
Formation energy from the elements   -0.764 eV per atom
D(E_F)   1.81 states/eV/f.u.



No. 2
VASP calculation (GGA-PBE) on an optimized crystal structure of SmAl2Au6.

Cell lengths 11.9130, 7.5149, 4.3681 Å; angles 90.00, 105.94, 90.00 degrees
Space group C2/m (No. 12)
Symmetry-distinct sites (fractional):
1 Sm 0.0000 0.0000 0.0000 (multiplicity 2)
2 Al 0.1983 0.5000 0.7022 (multiplicity 4)
3 Au 0.0000 0.2962 0.5000 (multiplicity 4)
4 Au 0.1765 0.3038 0.1847 (multiplicity 8)

## Properties
Calculated density   12.24 g/cm3
Formation energy from the elements   -0.386 eV per atom
E above lowest polymorph   0.0000 eV/atom
D(E_F)   3.79 states/eV/f.u.



No. 3
VASP calculation (GGA-PBE) on an optimized crystal structure of SmAlAu4.

Cell lengths 3.7796, 3.6114, 8.9354 Å; angles 90.00, 97.02, 90.00 degrees
Space group P2/m (No. 10)
Symmetry-distinct sites (fractional):
1 Sm 0.0000 0.0000 0.0000 (multiplicity 1)
2 Al 0.5000 0.5000 0.5000 (multiplicity 1)
3 Au 0.0922 0.0000 0.3524 (multiplicity 2)
4 Au 0.4468 0.5000 0.8098 (multiplicity 2)

## Properties
Calculated density   13.24 g/cm3
Formation energy from the elements   -0.489 eV per atom
E above lowest polymorph   0.0468 eV/atom
D(E_F)   1.58 states/eV/f.u.



No. 4
VASP calculation (GGA-PBE) on an optimized crystal structure of Sm3Al2Au4.

Cell lengths 10.9950, 4.6027, 8.7699 Å; angles 90.00, 114.67, 90.00 degrees
Space group C2/m (No. 12)
Symmetry-distinct sites (fractional):
1 Sm 0.0000 0.0000 0.0000 (multiplicity 2)
2 Sm 0.1410 0.5000 0.6892 (multiplicity 4)
3 Al 0.1570 0.5000 0.3300 (multiplicity 4)
4 Au 0.0867 0.0000 0.4061 (multiplicity 4)
5 Au 0.2156 0.5000 0.0721 (multiplicity 4)

## Properties
Calculated density   10.65 g/cm3
Formation energy from the elements   -0.786 eV per atom
D(E_F)   5.75 states/eV/f.u.



No. 5
VASP calculation (GGA-PBE) on an optimized crystal structure of Sm7Al2Au2.

Cell lengths 8.1044, 11.1940, 7.3349 Å; angles 90.00, 90.00, 90.00 degrees
Space group Cmmm (No. 65)
Symmetry-distinct sites (fractional):
1 Sm 0.0000 0.0000 0.0000 (multiplicity 2)
2 Sm 0.0000 0.5000 0.2636 (multiplicity 4)
3 Sm 0.2500 0.2500 0.2745 (multiplicity 8)
4 Al 0.1632 0.0000 0.5000 (multiplicity 4)
5 Au 0.0000 0.2911 0.0000 (multiplicity 4)

## Properties
Calculated density   7.49 g/cm3
Formation energy from the elements   -0.223 eV per atom
D(E_F)   12.22 states/eV/f.u.



No. 6
VASP calculation (GGA-PBE) on an optimized crystal structure of Sm4AlAu3.

Cell lengths 3.8098, 4.7010, 11.4578 Å; angles 90.00, 90.00, 90.00 degrees
Space group Pmm2 (No. 25)
Symmetry-distinct sites (fractional):
1 Sm 0.0000 0.0000 0.0000 (multiplicity 1)
2 Sm 0.0000 0.5000 0.2794 (multiplicity 1)
3 Sm 0.5000 0.0000 0.4943 (multiplicity 1)
4 Sm 0.5000 0.5000 0.7874 (multiplicity 1)
5 Al 0.0000 0.0000 0.7150 (multiplicity 1)
6 Au 0.0000 0.5000 0.5623 (multiplicity 1)
7 Au 0.5000 0.0000 0.2250 (multiplicity 1)
8 Au 0.5000 0.5000 0.0580 (multiplicity 1)

## Properties
Calculated density   9.87 g/cm3
Formation energy from the elements   -0.689 eV per atom
D(E_F)   7.00 states/eV/f.u.



No. 7
VASP calculation (GGA-PBE) on an optimized crystal structure of SmAl3Au2.

Cell lengths 15.4542, 4.2249, 8.2578 Å; angles 90.00, 115.46, 90.00 degrees
Space group C2/m (No. 12)
Symmetry-distinct sites (fractional):
1 Sm 0.1441 0.0000 0.0896 (multiplicity 4)
2 Al 0.0201 0.0000 0.3577 (multiplicity 4)
3 Al 0.1308 0.5000 0.7679 (multiplicity 4)
4 Al 0.1790 0.5000 0.4521 (multiplicity 4)
5 Au 0.0167 0.5000 0.1769 (multiplicity 4)
6 Au 0.1840 0.0000 0.6622 (multiplicity 4)

## Properties
Calculated density   8.53 g/cm3
Formation energy from the elements   -0.573 eV per atom
E above lowest polymorph   0.0712 eV/atom
D(E_F)   2.13 states/eV/f.u.



No. 8
VASP calculation (GGA-PBE) on an optimized crystal structure of Sm2Al5Au3.

Cell lengths 10.7978, 12.0887, 6.1657 Å; angles 90.00, 90.00, 90.00 degrees
Space group Ibam (No. 72)
Symmetry-distinct sites (fractional):
1 Sm 0.2389 0.1298 0.0000 (multiplicity 8)
2 Al 0.0000 0.0000 0.2500 (multiplicity 4)
3 Al 0.0000 0.2610 0.2500 (multiplicity 8)
4 Al 0.1462 0.3873 0.0000 (multiplicity 8)
5 Au 0.0000 0.5000 0.2500 (multiplicity 4)
6 Au 0.1245 0.1304 0.5000 (multiplicity 8)

## Properties
Calculated density   8.47 g/cm3
Formation energy from the elements   -0.688 eV per atom
D(E_F)   4.09 states/eV/f.u.